# Ca2BiH2, PBEsol geometry, DFT meta-GGA SCAN
data_Ca2BiH2
_space_group_name_H-M_alt 'P 1'
_space_group_IT_number 1
_space_group_name_Hall 'P 1'
_cell_length_a 3.798
_cell_length_b 3.798
_cell_length_c 7.077
_cell_angle_alpha 105.57
_cell_angle_beta 105.57
_cell_angle_gamma 90.00
loop_
_atom_site_label
_atom_site_type_symbol
_atom_site_fract_x
_atom_site_fract_y
_atom_site_fract_z
H1 H 0.250 0.750 0.500
H2 H 0.750 0.250 0.500
Ca1 Ca 0.344 0.344 0.688
Ca2 Ca 0.656 0.656 0.312
Bi1 Bi 0.000 0.000 0.000
# - Electronic total energy: -108.8 eV for the cell shown
# - Calculated volume: 94.47 Å³ per cell
# - Calculated density: 5.12 g/cm3
# - SG: I4/mmm, No. 139
# - Excess energy over the best structure of this formula in the dataset: 0.0000 eV per atom